1 | First-principles (GGA-PBE) data for a relaxed LiBeOF2 crystal, as listed in the Alexandria database.

Properties
Density: 2.5 Mg/m³
Calculated volume: 45.7 Å³ per cell
DOS(E_F): 0.57 states/eV per cell

a b c (Å): 3.4220 3.4220 3.9007
angles (deg): 90.00 90.00 90.00
Closest atoms and distances in Å follow each position.
Positions (direct):
Be 0.5000 0.5000 0.5000  4 O 2.42, 8 F 2.59
F 0.5000 0.0000 0.0000  2 Li 1.71
F 0.0000 0.5000 0.0000  2 Li 1.71
Li 0.0000 0.0000 0.0000  4 F 1.71
O 0.0000 0.0000 0.5000  2 Li 1.95

=====

2 | First-principles (GGA-PBE) data for a relaxed LiBeOF2 crystal, as listed in the Alexandria database.

Properties
Density: 2.6 Mg/m³
Calculated volume: 44.0 Å³ per cell
DOS(E_F): 2.24 states/eV per cell

a b c (Å): 3.6399 3.6399 3.3183
angles (deg): 90.00 90.00 90.00
Closest atoms and distances in Å follow each position.
Positions (direct):
Be 0.0000 0.0000 0.0000  2 O 1.66, 4 F 1.82
F 0.5000 0.0000 0.0000  2 Be 1.82
F 0.0000 0.5000 0.0000  2 Be 1.82
Li 0.5000 0.5000 0.5000  8 F 2.46, 4 O 2.57
O 0.0000 0.0000 0.5000  2 Be 1.66

=====

It comes down to 2, which is 101.9 kJ/mol of atoms more stable than the next structure.

=====

1 | First-principles (GGA-PBE) data for a relaxed MgBe2F crystal, as listed in the Alexandria database.

Properties
Density: 1.7 Mg/m³
Calculated volume: 58.6 Å³ per cell
DOS(E_F): 1.43 states/eV per cell

a b c (Å): 4.3603 4.3603 4.3603
angles (deg): 60.00 60.00 60.00
Closest atoms and distances in Å follow each position.
Positions (direct):
Be 0.2500 0.2500 0.2500  4 F 2.67, 4 Mg 2.67
Be 0.7500 0.7500 0.7500  4 F 2.67, 4 Mg 2.67
Mg 0.5000 0.5000 0.5000  8 Be 2.67
F 0.0000 0.0000 0.0000  8 Be 2.67

=====

2 | First-principles (GGA-PBE) data for a relaxed MgBe2F crystal, as listed in the Alexandria database.

Properties
Density: 1.9 Mg/m³
Calculated volume: 110.0 Å³ per cell
DOS(E_F): 3.43 states/eV per cell

a b c (Å): 5.6445 5.6445 5.2765
angles (deg): 57.66 57.66 90.00
Closest atoms and distances in Å follow each position.
Positions (direct):
Mg 0.7500 0.2500 0.5000  4 Be 2.68
Mg 0.0000 0.0000 0.0000  4 Be 2.68
F 0.2500 0.7500 0.5000  4 Be 1.80
F 0.5000 0.5000 0.0000  4 Be 1.80
Be 0.3750 0.4984 0.7500  2 F 1.80
Be 0.5016 0.1250 0.2500  2 F 1.80
Be 0.8750 0.7516 0.7500  2 F 1.80
Be 0.2484 0.6250 0.2500  2 F 1.80

=====

It comes down to 2, which is 54.2 kJ/mol of atoms more stable than the next structure.